(1)
Ca2ICl3 (GGA-PBE, optimized geometry); density = 2.3 g/cm3; total DFT energy (no corrections) = -48.49 eV/cell; formation energy from raw total energies = -2.192 eV per atom; magnetization = 0.00 μB/f.u.
1.0
-0.401 -2.519 3.388
-4.177 -6.559 -2.718
10.266 -8.354 -2.341
Cl Ca I
6 4 2
direct
0.652 0.184 0.512
0.830 0.088 0.253
0.340 0.310 0.010
0.660 0.690 0.990
0.170 0.912 0.747
0.348 0.816 0.488
0.240 0.138 0.383
0.740 0.393 0.127
0.260 0.607 0.873
0.760 0.862 0.617
0.896 0.483 0.725
0.104 0.517 0.275

***

(2)
CsCa2LaRu (GGA-PBE, optimized geometry); density = 3.9 g/cm3; total DFT energy (no corrections) = -18.57 eV/cell; magnetization = 0.00 μB/f.u.
1.0
-5.188 -2.944 -1.037
-0.483 -1.231 5.908
-2.697 4.501 0.718
Ca Cs La Ru
2 1 1 1
direct
0.500 0.000 0.000
0.000 0.500 0.000
0.500 0.500 0.500
0.000 0.000 0.500
0.000 0.000 0.000

***

(3)
Cu2Ge2Se (GGA-PBE, optimized geometry); density = 6.9 g/cm3; relative energy among the computed polymorphs = 22 meV/atom; total DFT energy (no corrections) = -39.78 eV/cell; formation energy from raw total energies = 0.205 eV per atom; magnetization = 0.00 μB/f.u.
1.0
7.785 0.000 0.000
0.000 7.785 0.000
0.000 0.000 2.788
Cu Se Ge
4 2 4
direct
0.389 0.111 0.500
0.889 0.389 0.500
0.611 0.889 0.500
0.111 0.611 0.500
0.500 0.500 0.000
0.000 0.000 0.000
0.311 0.811 0.000
0.189 0.311 0.000
0.689 0.189 0.000
0.811 0.689 0.000

***

(4)
Y3ErIr8 (GGA-PBE, optimized geometry); density = 15.0 g/cm3; total DFT energy (no corrections) = -104.52 eV/cell; magnetization = 0.00 μB/f.u.
1.0
5.362 0.000 0.000
2.681 4.643 0.000
2.681 1.548 8.746
Ir Y Er
8 3 1
direct
0.938 0.438 0.687
0.438 0.938 0.687
0.688 0.688 0.937
0.188 0.188 0.437
0.437 0.937 0.188
0.938 0.938 0.687
0.937 0.437 0.188
0.437 0.437 0.188
0.500 0.500 0.499
0.000 0.000 0.001
0.375 0.375 0.875
0.875 0.875 0.375

***

(5)
Ac3Ga4Ge2 (GGA-PBE, optimized geometry); density = 7.9 g/cm3; total DFT energy (no corrections) = -39.73 eV/cell; magnetization = 0.00 μB/f.u.
1.0
-1.776 3.933 -0.675
1.518 -2.705 -5.623
-8.136 -3.563 0.648
Ac Ga Ge
3 4 2
direct
0.333 0.666 0.333
0.667 0.334 0.667
0.000 0.000 0.000
0.287 0.574 0.957
0.963 0.926 0.627
0.037 0.074 0.373
0.713 0.426 0.043
0.623 0.246 0.289
0.377 0.754 0.711

***

(6)
CeYTlGa (GGA-PBE, optimized geometry); density = 8.1 g/cm3; relative energy among the computed polymorphs = 0 meV/atom; total DFT energy (no corrections) = -19.48 eV/cell; magnetization = 0.83 μB/f.u.
1.0
3.513 0.000 0.000
0.000 3.513 0.000
0.000 0.000 8.329
Tl Ga Ce Y
1 1 1 1
direct
0.500 0.500 0.113
0.500 0.500 0.601
0.000 0.000 0.836
0.000 0.000 0.377

***

Number 6 is which compound? CeYTlGa

***

Which value of total DFT energy (no corrections) does entry 1 give? -48.49 eV/cell